## CsFeAgF6 (GGA+U)

Data for a relaxed CsFeAgF6 crystal. Values from VASP.

The structure in Quantum ESPRESSO input format:
```
&SYSTEM
  ibrav = 0, nat = 36, ntyp = 4
/
ATOMIC_SPECIES
Ag 107.87 Ag.upf
Cs 132.91 Cs.upf
F 19.00 F.upf
Fe 55.84 Fe.upf
CELL_PARAMETERS angstrom
7.579 0.000 0.000
0.000 7.701 0.000
0.000 0.000 10.714
ATOMIC_POSITIONS angstrom
Ag 1.496 5.776 2.734
Cs 3.934 5.776 9.383
F 4.285 5.776 5.478
F 2.117 4.252 4.461
Cs 7.435 1.925 4.027
F 2.844 7.598 7.065
Fe 3.790 0.000 5.357
F 7.155 5.776 3.499
Cs 0.144 5.776 6.687
Fe 0.000 3.850 0.000
F 0.946 0.102 1.708
F 0.946 3.748 1.708
F 0.424 1.925 7.215
Ag 2.294 1.925 8.090
F 5.906 7.299 0.896
F 5.906 4.252 0.896
F 2.844 3.953 7.065
F 3.366 5.776 1.858
F 2.117 7.299 4.461
F 6.633 3.953 9.005
Fe 0.000 0.000 0.000
F 1.673 3.448 9.817
F 4.214 1.925 8.856
F 4.736 0.102 3.648
F 7.085 1.925 0.122
Fe 3.790 3.850 5.357
F 5.463 0.402 6.253
F 4.736 3.748 3.648
F 1.673 0.402 9.817
F 5.463 3.448 6.253
F 6.633 7.598 9.005
Cs 3.645 1.925 1.330
Ag 5.286 5.776 2.623
Ag 6.084 1.925 7.980
F 3.295 1.925 5.235
F 0.495 5.776 10.592
```

size of the total moment = 19.9 Bohr magnetons per cell
density = 4.36 g/cm3
V = 17.4 Å³ per atom
relative energy among the computed polymorphs = 0 meV/atom